Record 1
A relaxed CdPPb2 crystal, computed with PBE.

POSCAR file:
```
CdPPb2
1.0
4.010 -0.030 0.015
2.002 3.475 0.015
2.002 1.147 8.013
Cd P Pb
1 1 2
Cartesian
6.011 3.444 6.033
2.004 1.148 2.011
6.010 3.444 0.347
4.009 2.297 3.705
```



Record 2
A relaxed Cd3PPb crystal, computed with PBE.

POSCAR file:
```
Cd3PPb
1.0
-2.037 4.334 -2.965
-1.402 -3.514 -4.173
-5.061 -0.771 2.349
Pb P Cd
1 1 3
Cartesian
0.000 0.000 0.000
-4.250 0.025 -2.395
-0.701 -1.757 -2.086
-2.530 -0.385 1.175
-1.018 2.167 -1.483
```



Record 3
A relaxed CdPPb2 crystal, computed with PBE.

POSCAR file:
```
CdPPb2
1.0
7.624 1.252 -0.260
4.895 5.978 0.260
-6.033 -4.008 2.704
Cd P Pb
1 1 2
Cartesian
3.926 0.430 1.222
2.561 2.793 1.482
0.969 0.559 0.000
5.291 3.056 0.000
```



Record 4
A relaxed Cd2PPb crystal, computed with PBE.

POSCAR file:
```
Cd2PPb
1.0
-3.636 1.356 0.512
-0.954 -1.019 -4.074
-2.224 -5.851 -0.300
Cd P Pb
2 1 1
Cartesian
-0.122 -0.256 -0.188
-2.750 -1.105 -1.642
-1.510 -3.552 -1.322
-4.020 -4.038 -2.896
```



Record 5
A relaxed CdPPb2 crystal, computed with PBE.

POSCAR file:
```
CdPPb2
1.0
-1.158 -3.185 2.073
4.375 -0.249 2.061
0.411 3.219 5.176
Cd P Pb
1 1 2
Cartesian
3.036 1.403 3.851
2.445 0.840 6.462
4.615 2.719 6.756
0.712 -0.722 3.094
```



Record 6
A relaxed CdPPb2 crystal, computed with PBE.

POSCAR file:
```
CdPPb2
1.0
3.725 0.000 0.000
0.000 3.725 0.000
0.000 0.000 7.415
Cd P Pb
1 1 2
Cartesian
0.000 0.000 3.975
1.863 1.863 5.399
0.000 0.000 6.997
1.863 1.863 2.166
```



We obtain energy values of -3.34, -1.52, -3.27, -2.61, -3.34, -3.25 eV/atom for the records listed above, in that order.